[1]
Entry from Alexandria: a geometry-optimized Li2NbCr2S6 structure (GGA-PBE).

## Properties
- formation energy without anion corrections (eV per atom) = -0.90
- Fermi-level density of states (states/eV/atom) = 0.50
- magnetization (μB/cell) = 1.72

abc: 5.7697 5.7697 6.5634
angles: 97.17 97.17 120.84
Sites, in units of the cell vectors:
Li 0.1700 0.8300 0.0000
Li 0.8300 0.1700 0.0000
Nb 0.0000 0.0000 0.5000
Cr 0.3617 0.6383 0.5000
Cr 0.6383 0.3617 0.5000
S 0.0571 0.4159 0.7175
S 0.2776 0.2776 0.2537
S 0.4159 0.0571 0.7175
S 0.5841 0.9429 0.2825
S 0.7224 0.7224 0.7463
S 0.9429 0.5841 0.2825

---

[2]
Entry from Alexandria: a geometry-optimized Li2Nb2CrS6 structure (GGA-PBE).

## Properties
- formation energy without anion corrections (eV per atom) = -1.04
- Fermi-level density of states (states/eV/atom) = 0.17
- magnetization (μB/cell) = 2.01

abc: 5.9698 5.9698 6.5905
angles: 97.56 97.56 120.77
Sites, in units of the cell vectors:
Li 0.1793 0.8207 0.0000
Li 0.8207 0.1793 0.0000
Nb 0.3602 0.6398 0.5000
Nb 0.6398 0.3602 0.5000
Cr 0.0000 0.0000 0.5000
S 0.0588 0.3907 0.7220
S 0.2332 0.2332 0.2463
S 0.3907 0.0588 0.7220
S 0.6093 0.9412 0.2780
S 0.7668 0.7668 0.7537
S 0.9412 0.6093 0.2780

---

[3]
Entry from Alexandria: a geometry-optimized Li2NbCrTe structure (GGA-PBE).

## Properties
- formation energy without anion corrections (eV per atom) = 1.09
- Fermi-level density of states (states/eV/atom) = 0.93
- magnetization (μB/cell) = 0.51

abc: 5.0486 5.0486 4.3291
angles: 90.00 90.00 90.00
Sites, in units of the cell vectors:
Li 0.0000 0.5000 0.0000
Li 0.5000 0.0000 0.0000
Nb 0.0000 0.0000 0.0000
Cr 0.0000 0.0000 0.5000
Te 0.5000 0.5000 0.5000

---

[4]
Entry from Alexandria: a geometry-optimized LiY2NbCr structure (GGA-PBE).

## Properties
- Fermi-level density of states (states/eV/atom) = 2.00
- magnetization (μB/cell) = 0.18
- E (eV per atom) = -5.35

abc: 5.2679 5.2679 4.7922
angles: 90.00 90.00 90.00
Sites, in units of the cell vectors:
Li 0.0000 0.0000 0.0000
Y 0.0000 0.5000 0.5000
Y 0.5000 0.0000 0.5000
Nb 0.0000 0.0000 0.5000
Cr 0.5000 0.5000 0.0000

---

[5]
Entry from Alexandria: a geometry-optimized Li3Nd2CrNi12 structure (GGA-PBE).

## Properties
- Fermi-level density of states (states/eV/atom) = 1.20
- magnetization (μB/cell) = 2.46
- E (eV per atom) = -5.04

abc: 9.2151 9.2151 9.2151
angles: 37.54 37.54 37.54
Sites, in units of the cell vectors:
Li 0.0000 0.5000 0.5000
Li 0.5000 0.0000 0.5000
Li 0.5000 0.5000 0.0000
Nd 0.1489 0.1489 0.1489
Nd 0.8511 0.8511 0.8511
Cr 0.5000 0.5000 0.5000
Ni 0.0825 0.0825 0.6882
Ni 0.0825 0.6882 0.0825
Ni 0.1454 0.5732 0.5732
Ni 0.3118 0.9175 0.9175
Ni 0.4268 0.4268 0.8546
Ni 0.4268 0.8546 0.4268
Ni 0.5732 0.1454 0.5732
Ni 0.5732 0.5732 0.1454
Ni 0.6882 0.0825 0.0825
Ni 0.8546 0.4268 0.4268
Ni 0.9175 0.3118 0.9175
Ni 0.9175 0.9175 0.3118

---

Q: Fermi-level density of states of number 5 (Li3Nd2CrNi12)?
A: 1.20 states/eV/atom

---

Q: Which value of magnetization does entry 3 give?
A: 0.51 μB/cell

---

Q: Which formula does entry 2 have?
A: Li2Nb2CrS6